DFT (GGA-PBE) results for crystalline TcHgSe2 at its relaxed geometry.

Calculated values
For the formation energy (no corrections), the calculation gives -0.204 eV/atom. Its magnetization is 0.0 μB/cell.

abc: 9.5667 3.1702 12.7356
angles: 90.00 90.00 90.00
With the nearest neighbours (Å) after each atom.
Sites, in units of the cell vectors:
1 Tc 0.4692 0.2500 0.9105  4 Se 2.45-2.54
2 Se 0.6632 0.7500 0.9242  3 Tc 2.45-2.46
3 Se 0.0053 0.7500 0.2120  1 Tc 2.54
4 Se 0.8368 0.2500 0.4242  3 Tc 2.45-2.46
5 Hg 0.2662 0.2500 0.3466  2 Tc 2.87, 2 Se 2.88, 2 Hg 3.17
6 Hg 0.7338 0.7500 0.6534  2 Tc 2.87, 2 Se 2.88, 2 Hg 3.17
7 Se 0.9947 0.2500 0.7880  1 Tc 2.54
8 Tc 0.5308 0.7500 0.0895  4 Se 2.45-2.54
9 Tc 0.9692 0.2500 0.5895  4 Se 2.45-2.54
10 Tc 0.0308 0.7500 0.4105  4 Se 2.45-2.54
11 Hg 0.7662 0.2500 0.1534  2 Tc 2.87, 2 Se 2.88, 2 Hg 3.17
12 Se 0.4947 0.2500 0.7120  1 Tc 2.54
13 Se 0.3368 0.2500 0.0758  3 Tc 2.45-2.46
14 Hg 0.2338 0.7500 0.8466  2 Tc 2.87, 2 Se 2.88, 2 Hg 3.17
15 Se 0.5053 0.7500 0.2880  1 Tc 2.54
16 Se 0.1632 0.7500 0.5758  3 Tc 2.45-2.46